A plane-wave DFT calculation with PBE was carried out for Sc4Cr after structural relaxation.

abc: 4.917 4.917 4.917
angles: 90.00 90.00 90.00
Space group Pm-3m (No. 221)
Symmetry-distinct sites (fractional):
Sc  0.000  0.000  0.000 x1
Sc  0.000  0.500  0.500 x3
Cr  0.500  0.500  0.500 x1

Output
Its total magnetization is 0.665 μB/f.u. The calculation puts the total energy at -6.618 eV/atom. The polymorph energy (0 for the lowest one) comes out at 0.000 eV per atom.

A plane-wave DFT calculation with PBE was carried out for ScCr after structural relaxation.

abc: 11.327 3.077 6.223
angles: 90.00 103.07 90.00
Space group Cm (No. 8)
Symmetry-distinct sites (fractional):
Sc  0.000  0.000  0.000 x2
Sc  0.018  0.000  0.502 x2
Sc  0.230  0.500  0.868 x2
Cr  0.170  0.500  0.298 x2
Cr  0.295  0.000  0.521 x2
Cr  0.348  0.000  0.225 x2

Output
Its total magnetization is 0.096 μB/f.u. The calculation puts the total energy at -7.703 eV/atom.

A plane-wave DFT calculation with PBE was carried out for ScCr after structural relaxation.

abc: 4.8712 4.8712 6.8813
angles: 90.00 90.00 120.00
Space group P6_3/mmc (No. 194)
Symmetry-distinct sites (fractional):
Sc  0.0000  0.0000  0.2500 x2
Sc  0.3333  0.6667  0.2500 x2
Cr  0.3333  0.6667  0.6089 x4

Output
Its total magnetization is 0.001 μB/f.u. The calculation puts the total energy at -7.511 eV/atom.

A plane-wave DFT calculation with PBE was carried out for ScCr5 after structural relaxation.

abc: 4.9728 4.9728 3.9083
angles: 90.00 90.00 120.00
Space group P6/mmm (No. 191)
Symmetry-distinct sites (fractional):
Sc  0.0000  0.0000  0.0000 x1
Cr  0.0000  0.5000  0.5000 x3
Cr  0.3333  0.6667  0.0000 x2

Output
Its total magnetization is 0.000 μB/f.u. The calculation puts the total energy at -8.890 eV/atom. The polymorph energy (0 for the lowest one) comes out at 0.023 eV per atom.

A plane-wave DFT calculation with PBE was carried out for Sc4Cr after structural relaxation.

abc: 3.870 3.870 16.099
angles: 90.00 90.00 90.00
Space group I4/mmm (No. 139)
Symmetry-distinct sites (fractional):
Sc  0.000  0.000  0.090 x4
Sc  0.000  0.500  0.250 x4
Cr  0.000  0.000  0.500 x2

Output
Its total magnetization is 3.288 μB/f.u. The calculation puts the total energy at -6.367 eV/atom. The polymorph energy (0 for the lowest one) comes out at 0.251 eV per atom.

A plane-wave DFT calculation with PBE was carried out for Sc5Cr after structural relaxation.

abc: 11.216 3.361 7.683
angles: 90.00 111.16 90.00
Space group C2/m (No. 12)
Symmetry-distinct sites (fractional):
Sc  0.000  0.000  0.000 x2
Sc  0.141  0.500  0.361 x4
Sc  0.168  0.500  0.798 x4
Cr  0.000  0.000  0.500 x2

Output
Its total magnetization is 2.361 μB/f.u. The calculation puts the total energy at -6.762 eV/atom. The polymorph energy (0 for the lowest one) comes out at 0.000 eV per atom.